Density functional theory data (PBE) for a relaxed AcEr5Tm4 crystal.

a = 17.098 Å, b = 3.556 Å, c = 10.881 Å
α = 90.00°, β = 90.59°, γ = 90.00°
Space group C2/m (No. 12)
Symmetry-distinct sites (fractional):
Ac 0.000 0.000 0.000 (multiplicity 2)
Er 0.000 0.000 0.500 (multiplicity 2)
Er 0.173 0.500 0.549 (multiplicity 4)
Er 0.177 0.500 0.941 (multiplicity 4)
Tm 0.026 0.500 0.741 (multiplicity 4)
Tm 0.151 0.000 0.250 (multiplicity 4)

Summary:
* DOS(E_F): 26.22 states/eV per cell
* VASP energy: -4.26 eV per atom
* magnetization: 0.0 μB/cell
* E_form: 0.22 eV per atom
* crystal system: monoclinic



Density functional theory data (PBE) for a relaxed CdBi2IO8 crystal.

a = 5.096 Å, b = 6.963 Å, c = 5.096 Å
α = 90.00°, β = 90.33°, γ = 90.00°
Space group P2/m (No. 10)
Symmetry-distinct sites (fractional):
Cd 0.000 0.000 0.000 (multiplicity 1)
Bi 0.500 0.248 0.500 (multiplicity 2)
I 0.000 0.500 0.000 (multiplicity 1)
O 0.180 0.294 0.822 (multiplicity 4)
O 0.266 0.500 0.267 (multiplicity 2)
O 0.310 0.000 0.310 (multiplicity 2)

Summary:
* DOS(E_F): 2.80 states/eV per cell
* ΔE_f (raw): -0.77 eV per atom
* VASP energy: -4.93 eV per atom
* magnetization: 0.0 μB/cell
* crystal system: monoclinic



Density functional theory data (PBE) for a relaxed Li2AcLaGe2 crystal.

a = 4.6249 Å, b = 4.6249 Å, c = 8.0051 Å
α = 90.00°, β = 90.00°, γ = 120.00°
Space group P-3m1 (No. 164)
Symmetry-distinct sites (fractional):
Li 0.3333 0.6667 0.2223 (multiplicity 2)
Ac 0.0000 0.0000 0.5000 (multiplicity 1)
La 0.0000 0.0000 0.0000 (multiplicity 1)
Ge 0.3333 0.6667 0.7649 (multiplicity 2)

Summary:
* DOS(E_F): 0.75 states/eV per cell
* VASP energy: -4.33 eV per atom
* magnetization: 0.0 μB/cell
* E_form: -0.64 eV per atom
* crystal system: trigonal